# 1
# LiMnIO2

A geometry-optimized LiMnIO2 structure (GGA+U, Alexandria via LeMat-Bulk).

a = 3.9850 Å, b = 3.9850 Å, c = 5.2414 Å
α = 90.00°, β = 90.00°, γ = 90.00°
Atoms (fractional coordinates):
Li (0.0000, 0.0000, 0.0000)
Mn (0.0000, 0.0000, 0.5000)
I (0.5000, 0.5000, 0.5000)
O (0.0000, 0.5000, 0.0000)
O (0.5000, 0.0000, 0.0000)

Output
**Raw total energy**: -20.68 eV/f.u.
**Fermi-level density of states**: 0.18 states/eV/atom
**Space-group type**: P4/mmm (123)
**Total magnetic moment**: 3.0 μB per formula unit

# 2
# Li2MnIO

A geometry-optimized Li2MnIO structure (GGA+U, Alexandria via LeMat-Bulk).

a = 4.9179 Å, b = 4.9179 Å, c = 5.7385 Å
α = 90.00°, β = 90.00°, γ = 90.00°
Atoms (fractional coordinates):
Li (0.0000, 0.5000, 0.0000)
Li (0.5000, 0.0000, 0.0000)
Mn (0.0000, 0.0000, 0.5000)
I (0.0000, 0.0000, 0.0000)
O (0.5000, 0.5000, 0.5000)

Output
**Raw total energy**: -15.88 eV/f.u.
**Fermi-level density of states**: 0.40 states/eV/atom
**Space-group type**: P4/mmm (123)
**Total magnetic moment**: 5.4 μB per formula unit

# 3
# LiMnIO6

A geometry-optimized LiMnIO6 structure (GGA+U, Alexandria via LeMat-Bulk).

a = 4.5968 Å, b = 4.5968 Å, c = 8.9036 Å
α = 90.00°, β = 90.00°, γ = 90.00°
Atoms (fractional coordinates):
Li (0.0000, 0.0000, 0.0000)
Li (0.5000, 0.5000, 0.5000)
Mn (0.0000, 0.0000, 0.3274)
Mn (0.5000, 0.5000, 0.8274)
I (0.0000, 0.0000, 0.6668)
I (0.5000, 0.5000, 0.1668)
O (0.1862, 0.1862, 0.4993)
O (0.1987, 0.1987, 0.8233)
O (0.2050, 0.2050, 0.1687)
O (0.2950, 0.7050, 0.6687)
O (0.3013, 0.6987, 0.3233)
O (0.3138, 0.6862, 0.9993)
O (0.6862, 0.3138, 0.9993)
O (0.6987, 0.3013, 0.3233)
O (0.7050, 0.2950, 0.6687)
O (0.7950, 0.7950, 0.1687)
O (0.8013, 0.8013, 0.8233)
O (0.8138, 0.8138, 0.4993)

Output
**Raw total energy**: -48.57 eV/f.u.
**Fermi-level density of states**: 0.03 states/eV/atom
**Space-group type**: P4_2nm (102)
**Total magnetic moment**: 3.0 μB per formula unit